Record 1
LiTl2Cd | GGA-PBEsol | relaxed

Unit cell a=5.113 b=5.113 c=5.712 alpha=100.73 beta=100.73 gamma=39.58
Fractional positions:
Li1 0.000 0.000 0.000
Tl1 0.252 0.252 0.760
Tl2 0.748 0.748 0.240
Cd1 0.500 0.500 0.500

Values from the calculation:
DFT formation energy = -0.087 eV/atom
E = -2.19 eV per atom
symmetry = No. 12



Record 2
LaYIn2 | GGA-PBEsol | relaxed

Unit cell a=5.670 b=5.670 c=3.468 alpha=90.00 beta=90.00 gamma=104.40
Fractional positions:
La1 0.000 0.000 0.000
Y1 0.500 0.500 0.000
In1 0.000 0.500 0.500
In2 0.500 0.000 0.500

Values from the calculation:
DFT formation energy = -0.522 eV/atom
E = -5.06 eV per atom
symmetry = No. 65



Record 3
K2ScCo | GGA-PBEsol | relaxed

Unit cell a=6.847 b=6.847 c=3.529 alpha=103.81 beta=103.81 gamma=130.74
Fractional positions:
K1 0.000 0.500 0.000
K2 0.500 0.000 0.000
Sc1 0.000 0.000 0.500
Co1 0.500 0.500 0.500

Values from the calculation:
DFT formation energy = 1.024 eV/atom
E = -3.13 eV per atom
excess energy over the best structure of this formula in the dataset = 41 meV/atom
symmetry = No. 12



Record 4
SrSm2Nb2O9 | GGA-PBEsol | relaxed

Unit cell a=12.638 b=12.638 c=5.632 alpha=90.00 beta=90.00 gamma=25.35
Fractional positions:
Sr1 0.244 0.756 0.500
Sr2 0.756 0.244 0.000
Sm1 0.014 0.577 0.413
Sm2 0.423 0.986 0.413
Sm3 0.577 0.014 0.913
Sm4 0.986 0.423 0.913
Nb1 0.166 0.665 0.017
Nb2 0.335 0.834 0.017
Nb3 0.665 0.166 0.517
Nb4 0.834 0.335 0.517
O1 0.019 0.292 0.543
O2 0.034 0.095 0.268
O3 0.095 0.034 0.768
O4 0.255 0.263 0.671
O5 0.263 0.255 0.171
O6 0.292 0.019 0.043
O7 0.317 0.683 0.057
O8 0.363 0.450 0.335
O9 0.450 0.363 0.835
O10 0.550 0.637 0.335
O11 0.637 0.550 0.835
O12 0.683 0.317 0.557
O13 0.708 0.981 0.543
O14 0.737 0.745 0.671
O15 0.745 0.737 0.171
O16 0.905 0.966 0.268
O17 0.966 0.905 0.768
O18 0.981 0.708 0.043

Values from the calculation:
E = -8.80 eV per atom
formation energy (no corrections) = -42.36 eV per formula unit
symmetry = No. 36



Record 5
NiRuAu2 | GGA-PBEsol | relaxed

Unit cell a=4.725 b=4.725 c=4.725 alpha=131.32 beta=131.32 gamma=71.31
Fractional positions:
Ni1 0.000 0.000 0.000
Ru1 0.500 0.500 0.000
Au1 0.250 0.750 0.500
Au2 0.750 0.250 0.500

Values from the calculation:
DFT formation energy = 0.378 eV/atom
E = -5.67 eV per atom
excess energy over the best structure of this formula in the dataset = 164 meV/atom
symmetry = No. 139



Record 6
SrHgCl2 | GGA-PBEsol | relaxed

Unit cell a=4.360 b=4.360 c=8.887 alpha=103.83 beta=103.83 gamma=60.00
Fractional positions:
Sr1 0.000 0.000 0.000
Hg1 0.500 0.500 0.500
Cl1 0.280 0.280 0.837
Cl2 0.720 0.720 0.163

Values from the calculation:
E = -3.31 eV per atom
excess energy over the best structure of this formula in the dataset = 0 meV/atom
formation energy (no corrections) = -6.81 eV per formula unit
symmetry = No. 12



Record 7
NaCaTaTiO6 | GGA-PBEsol | relaxed

Unit cell a=5.396 b=5.495 c=9.387 alpha=90.00 beta=124.99 gamma=90.00
Fractional positions:
Na1 0.000 0.227 0.000
Na2 0.000 0.773 0.500
Ca1 0.515 0.299 0.501
Ca2 0.515 0.701 0.001
Ta1 0.258 0.242 0.751
Ta2 0.258 0.758 0.251
Ti1 0.758 0.246 0.249
Ti2 0.758 0.754 0.749
O1 0.081 0.232 0.498
O2 0.081 0.768 0.998
O3 0.434 0.268 0.002
O4 0.434 0.732 0.502
O5 0.499 0.048 0.293
O6 0.499 0.952 0.793
O7 0.573 0.465 0.786
O8 0.573 0.535 0.286
O9 0.912 0.041 0.708
O10 0.912 0.959 0.208
O11 0.996 0.466 0.214
O12 0.996 0.534 0.714

Values from the calculation:
E = -8.51 eV per atom
formation energy (no corrections) = -29.18 eV per formula unit
symmetry = No. 7



Record 8
PrNi9Ge4 | GGA-PBEsol | relaxed

Unit cell a=8.034 b=8.034 c=8.034 alpha=121.38 beta=121.38 gamma=87.62
Fractional positions:
Pr1 0.250 0.250 0.000
Pr2 0.750 0.750 0.000
Ni1 0.000 0.500 0.500
Ni2 0.057 0.557 0.251
Ni3 0.068 0.796 0.864
Ni4 0.195 0.943 0.500
Ni5 0.204 0.068 0.272
Ni6 0.296 0.568 0.864
Ni7 0.305 0.805 0.749
Ni8 0.432 0.296 0.728
Ni9 0.443 0.695 0.500
Ni10 0.500 0.000 0.500
Ni11 0.557 0.305 0.500
Ni12 0.568 0.704 0.272
Ni13 0.695 0.195 0.251
Ni14 0.704 0.432 0.136
Ni15 0.796 0.932 0.728
Ni16 0.805 0.057 0.500
Ni17 0.932 0.204 0.136
Ni18 0.943 0.443 0.749
Ge1 0.051 0.204 0.500
Ge2 0.204 0.704 0.153
Ge3 0.296 0.449 0.500
Ge4 0.449 0.949 0.153
Ge5 0.551 0.051 0.847
Ge6 0.704 0.551 0.500
Ge7 0.796 0.296 0.847
Ge8 0.949 0.796 0.500

Values from the calculation:
DFT formation energy = -0.454 eV/atom
E = -6.19 eV per atom
symmetry = No. 140



Calculated values (kg/m3) of ρ for the records, taken in order: 9404, 7034, 2943, 6192, 15787, 4241, 5650, 8885.